No. 1
# PBE YZr2Ta, optimized geometry
# Crystal system: cubic
# Energy relative to the lowest polymorph listed for this composition (meV per atom): 122
# Magnetization (Bohr magnetons per cell): 0.0
# ΔH_f (0 K) (eV per atom): 0.28
# Total energy (eV/f.u.): -34.3
data_YZr2Ta
_space_group_name_H-M_alt 'F m -3 m'
_space_group_IT_number 225
_space_group_name_Hall '-F 4 2 3'
_cell_length_a 7.157
_cell_length_b 7.157
_cell_length_c 7.157
_cell_angle_alpha 90.00
_cell_angle_beta 90.00
_cell_angle_gamma 90.00
loop_
_atom_site_label
_atom_site_fract_x
_atom_site_fract_y
_atom_site_fract_z
Y1 0.000 0.000 0.000
Zr1 0.250 0.250 0.250
Ta1 0.000 0.000 0.500

No. 2
# PBE YZr4Ta, optimized geometry
# Crystal system: cubic
# Magnetization (Bohr magnetons per cell): 7.3
# ΔH_f (0 K) (eV per atom): 0.45
# Total energy (eV/f.u.): -49.8
data_YZr4Ta
_space_group_name_H-M_alt 'F -4 3 m'
_space_group_IT_number 216
_space_group_name_Hall 'F -4 2 3'
_cell_length_a 8.278
_cell_length_b 8.278
_cell_length_c 8.278
_cell_angle_alpha 90.00
_cell_angle_beta 90.00
_cell_angle_gamma 90.00
loop_
_atom_site_label
_atom_site_fract_x
_atom_site_fract_y
_atom_site_fract_z
Y1 0.000 0.000 0.000
Zr1 0.124 0.124 0.624
Ta1 0.250 0.250 0.250

No. 3
# PBE YZr2Ta, optimized geometry
# Crystal system: monoclinic
# Energy relative to the lowest polymorph listed for this composition (meV per atom): 64
# Magnetization (Bohr magnetons per cell): 0.0
# ΔH_f (0 K) (eV per atom): 0.22
# Total energy (eV/f.u.): -34.5
data_YZr2Ta
_space_group_name_H-M_alt 'P 1 m 1'
_space_group_IT_number 6
_cell_length_a 3.146
_cell_length_b 5.047
_cell_length_c 6.134
_cell_angle_alpha 90.00
_cell_angle_beta 104.77
_cell_angle_gamma 90.00
loop_
_space_group_symop_operation_xyz
'x,y,z'
'x,-y,z'
loop_
_atom_site_label
_atom_site_fract_x
_atom_site_fract_y
_atom_site_fract_z
Y1 0.000 0.000 0.000
Zr1 0.258 0.000 0.519
Zr2 0.648 0.500 0.299
Ta1 0.386 0.500 0.768

No. 4
# PBE YZrTa2, optimized geometry
# Crystal system: orthorhombic
# Energy relative to the lowest polymorph listed for this composition (meV per atom): 74
# Magnetization (Bohr magnetons per cell): 0.0
# ΔH_f (0 K) (eV per atom): 0.25
# Total energy (eV/f.u.): -37.7
data_YZrTa2
_space_group_name_H-M_alt 'C m m 2'
_space_group_IT_number 35
_cell_length_a 3.541
_cell_length_b 4.907
_cell_length_c 10.156
_cell_angle_alpha 90.00
_cell_angle_beta 90.00
_cell_angle_gamma 90.00
loop_
_space_group_symop_operation_xyz
'x,y,z'
'-x,-y,z'
'-x,y,z'
'x,-y,z'
'x+1/2,y+1/2,z'
'-x+1/2,-y+1/2,z'
'-x+1/2,y+1/2,z'
'x+1/2,-y+1/2,z'
loop_
_atom_site_label
_atom_site_fract_x
_atom_site_fract_y
_atom_site_fract_z
Y1 0.000 0.000 0.000
Zr1 0.000 0.500 0.697
Ta1 0.000 0.000 0.467
Ta2 0.000 0.500 0.256

No. 5
# PBE Y2ZrTa2, optimized geometry
# Crystal system: tetragonal
# Energy relative to the lowest polymorph listed for this composition (meV per atom): 38
# Magnetization (Bohr magnetons per cell): 0.0
# ΔH_f (0 K) (eV per atom): 0.74
# Total energy (eV/f.u.): -41.5
data_Y2ZrTa2
_space_group_name_H-M_alt 'P 4/m b m'
_space_group_IT_number 127
_space_group_name_Hall '-P 4 2ab'
_cell_length_a 8.891
_cell_length_b 8.891
_cell_length_c 3.044
_cell_angle_alpha 90.00
_cell_angle_beta 90.00
_cell_angle_gamma 90.00
loop_
_atom_site_label
_atom_site_fract_x
_atom_site_fract_y
_atom_site_fract_z
Y1 0.121 0.379 0.000
Zr1 0.000 0.000 0.000
Ta1 0.184 0.684 0.500

No. 6
# PBE YZrTa2, optimized geometry
# Crystal system: monoclinic
# Energy relative to the lowest polymorph listed for this composition (meV per atom): 101
# Magnetization (Bohr magnetons per cell): 0.0
# ΔH_f (0 K) (eV per atom): 0.27
# Total energy (eV/f.u.): -37.6
data_YZrTa2
_space_group_name_H-M_alt 'P 1 m 1'
_space_group_IT_number 6
_cell_length_a 3.085
_cell_length_b 4.733
_cell_length_c 6.285
_cell_angle_alpha 90.00
_cell_angle_beta 103.68
_cell_angle_gamma 90.00
loop_
_space_group_symop_operation_xyz
'x,y,z'
'x,-y,z'
loop_
_atom_site_label
_atom_site_fract_x
_atom_site_fract_y
_atom_site_fract_z
Y1 0.000 0.000 0.000
Zr1 0.564 0.500 0.314
Ta1 0.104 0.000 0.524
Ta2 0.429 0.500 0.746

No. 7
# PBE YZrTa2, optimized geometry
# Crystal system: orthorhombic
# Energy relative to the lowest polymorph listed for this composition (meV per atom): 132
# Magnetization (Bohr magnetons per cell): 0.0
# ΔH_f (0 K) (eV per atom): 0.30
# Total energy (eV/f.u.): -37.5
data_YZrTa2
_space_group_name_H-M_alt 'I m m 2'
_space_group_IT_number 44
_cell_length_a 3.536
_cell_length_b 5.029
_cell_length_c 10.033
_cell_angle_alpha 90.00
_cell_angle_beta 90.00
_cell_angle_gamma 90.00
loop_
_space_group_symop_operation_xyz
'x,y,z'
'-x,-y,z'
'-x,y,z'
'x,-y,z'
'x+1/2,y+1/2,z+1/2'
'-x+1/2,-y+1/2,z+1/2'
'-x+1/2,y+1/2,z+1/2'
'x+1/2,-y+1/2,z+1/2'
loop_
_atom_site_label
_atom_site_fract_x
_atom_site_fract_y
_atom_site_fract_z
Y1 0.000 0.000 0.000
Zr1 0.000 0.500 0.769
Ta1 0.000 0.000 0.536
Ta2 0.000 0.500 0.234

No. 8
# PBE YZrTa2, optimized geometry
# Crystal system: tetragonal
# Energy relative to the lowest polymorph listed for this composition (meV per atom): 238
# Magnetization (Bohr magnetons per cell): 0.0
# ΔH_f (0 K) (eV per atom): 0.41
# Total energy (eV/f.u.): -37.1
data_YZrTa2
_space_group_name_H-M_alt 'I 4/m m m'
_space_group_IT_number 139
_space_group_name_Hall '-I 4 2'
_cell_length_a 4.233
_cell_length_b 4.233
_cell_length_c 9.714
_cell_angle_alpha 90.00
_cell_angle_beta 90.00
_cell_angle_gamma 90.00
loop_
_atom_site_label
_atom_site_fract_x
_atom_site_fract_y
_atom_site_fract_z
Y1 0.000 0.000 0.000
Zr1 0.000 0.000 0.500
Ta1 0.000 0.500 0.250